# 1
Material: AlReBr2
Method: DFT, GGA-PBE
State: optimized geometry

Calculated values
V = 246.6 Å³ per cell
Spin magnetization = 0.000 μB/f.u.
Polymorph energy (0 for the lowest one) = 617 meV per atom
DFT total energy = -4.265 eV/atom
Energy relative to the elements, uncorrected = 619 meV per atom

a b c (Å): 3.0972 3.0972 29.6844
angles (deg): 90.00 90.00 120.00
Space group R-3m (No. 166, hexagonal axes)
Unique sites:
Al: 0.0000 0.0000 0.0000 (multiplicity 3)
Re: 0.0000 0.0000 0.5000 (multiplicity 3)
Br: 0.0000 0.0000 0.4193 (multiplicity 6)

---

# 2
Material: Al2ReBr
Method: DFT, GGA-PBE
State: optimized geometry

Calculated values
V = 73.8 Å³ per cell
Spin magnetization = 0.000 μB/f.u.
Polymorph energy (0 for the lowest one) = 168 meV per atom
DFT total energy = -5.328 eV/atom
Energy relative to the elements, uncorrected = 73 meV per atom

a b c (Å): 3.144 3.144 7.464
angles (deg): 90.00 90.00 90.00
Space group P4/mmm (No. 123)
Unique sites:
Al: 0.000 0.000 0.186 (multiplicity 2)
Re: 0.500 0.500 0.000 (multiplicity 1)
Br: 0.500 0.500 0.500 (multiplicity 1)

---

# 3
Material: AlReBr2
Method: DFT, GGA-PBE
State: optimized geometry

Calculated values
V = 73.8 Å³ per cell
Spin magnetization = 0.469 μB/f.u.
Polymorph energy (0 for the lowest one) = 890 meV per atom
DFT total energy = -3.991 eV/atom
Energy relative to the elements, uncorrected = 893 meV per atom

a b c (Å): 4.752 3.113 5.287
angles (deg): 90.00 109.34 90.00
Space group P2/m (No. 10)
Unique sites:
Al: 0.000 0.000 0.000 (multiplicity 1)
Re: 0.000 0.500 0.500 (multiplicity 1)
Br: 0.500 0.000 0.500 (multiplicity 1)
Br: 0.500 0.500 0.000 (multiplicity 1)

---

# 4
Material: Al2ReBr
Method: DFT, GGA-PBE
State: optimized geometry

Calculated values
V = 132.7 Å³ per cell
Spin magnetization = 0.001 μB/f.u.
Polymorph energy (0 for the lowest one) = 877 meV per atom
DFT total energy = -4.619 eV/atom
Energy relative to the elements, uncorrected = 782 meV per atom

a b c (Å): 4.351 4.351 7.010
angles (deg): 90.00 90.00 90.00
Space group I-4m2 (No. 119)
Unique sites:
Al: 0.000 0.000 0.000 (multiplicity 2)
Al: 0.000 0.500 0.250 (multiplicity 2)
Re: 0.000 0.000 0.500 (multiplicity 2)
Br: 0.000 0.500 0.750 (multiplicity 2)

---

# 5
Material: AlReBr
Method: DFT, GGA-PBE
State: optimized geometry

Calculated values
V = 115.1 Å³ per cell
Spin magnetization = 0.476 μB/f.u.
Polymorph energy (0 for the lowest one) = 165 meV per atom
DFT total energy = -5.294 eV/atom
Energy relative to the elements, uncorrected = 660 meV per atom

a b c (Å): 3.098 3.098 11.998
angles (deg): 90.00 90.00 90.00
Space group I4mm (No. 107)
Unique sites:
Al: 0.000 0.000 0.000 (multiplicity 2)
Re: 0.000 0.000 0.386 (multiplicity 2)
Br: 0.000 0.000 0.733 (multiplicity 2)

---

# 6
Material: Al2ReBr
Method: DFT, GGA-PBE
State: optimized geometry

Calculated values
V = 74.3 Å³ per cell
Spin magnetization = 0.001 μB/f.u.
Polymorph energy (0 for the lowest one) = 0 meV per atom
DFT total energy = -5.497 eV/atom
Energy relative to the elements, uncorrected = -95 meV per atom

a b c (Å): 3.061 3.261 7.445
angles (deg): 90.00 90.00 90.00
Space group Pmmm (No. 47)
Unique sites:
Al: 0.000 0.000 0.186 (multiplicity 2)
Re: 0.500 0.500 0.000 (multiplicity 1)
Br: 0.500 0.000 0.500 (multiplicity 1)